1.
## Zr3Re (PBE)

Data for a relaxed structure of Zr3Re.

Structure (CIF):
```
data_Zr3Re
_symmetry_space_group_name_H-M 'P 63/m m c'
_symmetry_Int_Tables_number 194
_symmetry_space_group_name_Hall '-P 6c 2c'
_cell_length_a 6.2438
_cell_length_b 6.2438
_cell_length_c 9.7665
_cell_angle_alpha 90.00
_cell_angle_beta 90.00
_cell_angle_gamma 120.00
loop_
_atom_site_label
_atom_site_type_symbol
_atom_site_fract_x
_atom_site_fract_y
_atom_site_fract_z
Zr1 Zr 0.0000 0.5000 0.0000
Zr2 Zr 0.1565 0.3130 0.2500
Re1 Re 0.0000 0.0000 0.0000
Re2 Re 0.3333 0.6667 0.7500
```

Calculated values
Electronic total energy (eV for the cell shown): -150.1
D(E_F) (states/eV per cell): 17.7
Magnetization (μB/atom): 0.000
ΔH_f (0 K) (meV/atom): 143

=====

2.
## ZrRe (PBE)

Data for a relaxed structure of ZrRe.

Structure (CIF):
```
data_ZrRe
_symmetry_space_group_name_H-M 'P 42/m n m'
_symmetry_Int_Tables_number 136
_symmetry_space_group_name_Hall '-P 4n 2n'
_cell_length_a 5.4219
_cell_length_b 5.4219
_cell_length_c 5.5161
_cell_angle_alpha 90.00
_cell_angle_beta 90.00
_cell_angle_gamma 90.00
loop_
_atom_site_label
_atom_site_type_symbol
_atom_site_fract_x
_atom_site_fract_y
_atom_site_fract_z
Zr1 Zr 0.2032 0.2032 0.0000
Re1 Re 0.1833 0.1833 0.5000
```

Calculated values
Electronic total energy (eV for the cell shown): -78.0
D(E_F) (states/eV per cell): 9.7
Magnetization (μB/atom): 0.000
ΔH_f (0 K) (meV/atom): 749

=====

3.
## ZrRe3 (PBE)

Data for a relaxed structure of ZrRe3.

Structure (CIF):
```
data_ZrRe3
_symmetry_space_group_name_H-M 'C m m m'
_symmetry_Int_Tables_number 65
_symmetry_space_group_name_Hall '-C 2 2'
_cell_length_a 3.1657
_cell_length_b 4.5602
_cell_length_c 9.0638
_cell_angle_alpha 90.00
_cell_angle_beta 90.00
_cell_angle_gamma 90.00
loop_
_atom_site_label
_atom_site_type_symbol
_atom_site_fract_x
_atom_site_fract_y
_atom_site_fract_z
Zr1 Zr 0.0000 0.0000 0.0000
Re1 Re 0.0000 0.0000 0.5000
Re2 Re 0.0000 0.5000 0.2630
```

Calculated values
Electronic total energy (eV for the cell shown): -90.5
D(E_F) (states/eV per cell): 7.5
Magnetization (μB/atom): 0.000
ΔE to the lowest computed polymorph (meV per atom): 171.8
ΔH_f (0 K) (meV/atom): 161

=====

4.
## ZrRe2 (PBE)

Data for a relaxed structure of ZrRe2.

Structure (CIF):
```
data_ZrRe2
_symmetry_space_group_name_H-M 'I 41/a m d'
_symmetry_Int_Tables_number 141
_cell_length_a 3.9413
_cell_length_b 3.9413
_cell_length_c 15.3613
_cell_angle_alpha 90.00
_cell_angle_beta 90.00
_cell_angle_gamma 90.00
loop_
_symmetry_equiv_pos_as_xyz
'x,y,z'
'-x,-y,-z'
'-y+1/4,x+3/4,z+1/4'
'y+1/4,-x+3/4,-z+1/4'
'-x+1/2,-y,z+1/2'
'x+1/2,y,-z+1/2'
'y+1/4,-x+1/4,z+3/4'
'-y+1/4,x+1/4,-z+3/4'
'x,-y,-z'
'-x,y,z'
'-y+1/4,-x+1/4,-z+3/4'
'y+1/4,x+1/4,z+3/4'
'-x+1/2,y,-z+1/2'
'x+1/2,-y,z+1/2'
'y+1/4,x+3/4,-z+1/4'
'-y+1/4,-x+3/4,z+1/4'
'x+1/2,y+1/2,z+1/2'
'-x+1/2,-y+1/2,-z+1/2'
'-y+3/4,x+1/4,z+3/4'
'y+3/4,-x+1/4,-z+3/4'
'-x,-y+1/2,z'
'x,y+1/2,-z'
'y+3/4,-x+3/4,z+1/4'
'-y+3/4,x+3/4,-z+1/4'
'x+1/2,-y+1/2,-z+1/2'
'-x+1/2,y+1/2,z+1/2'
'-y+3/4,-x+3/4,-z+1/4'
'y+3/4,x+3/4,z+1/4'
'-x,y+1/2,-z'
'x,-y+1/2,z'
'y+3/4,x+1/4,-z+3/4'
'-y+3/4,-x+1/4,z+3/4'
loop_
_atom_site_label
_atom_site_type_symbol
_atom_site_fract_x
_atom_site_fract_y
_atom_site_fract_z
Zr1 Zr 0.0000 0.2500 0.3750
Re1 Re 0.0000 0.2500 0.7943
```

Calculated values
Electronic total energy (eV for the cell shown): -129.4
D(E_F) (states/eV per cell): 8.9
Magnetization (μB/atom): 0.000
ΔH_f (0 K) (meV/atom): 361

=====

5.
## Zr2Re (PBE)

Data for a relaxed structure of Zr2Re.

Structure (CIF):
```
data_Zr2Re
_symmetry_space_group_name_H-M 'I 41/a m d'
_symmetry_Int_Tables_number 141
_cell_length_a 3.2302
_cell_length_b 3.2302
_cell_length_c 25.2716
_cell_angle_alpha 90.00
_cell_angle_beta 90.00
_cell_angle_gamma 90.00
loop_
_symmetry_equiv_pos_as_xyz
'x,y,z'
'-x,-y,-z'
'-y+1/4,x+3/4,z+1/4'
'y+1/4,-x+3/4,-z+1/4'
'-x+1/2,-y,z+1/2'
'x+1/2,y,-z+1/2'
'y+1/4,-x+1/4,z+3/4'
'-y+1/4,x+1/4,-z+3/4'
'x,-y,-z'
'-x,y,z'
'-y+1/4,-x+1/4,-z+3/4'
'y+1/4,x+1/4,z+3/4'
'-x+1/2,y,-z+1/2'
'x+1/2,-y,z+1/2'
'y+1/4,x+3/4,-z+1/4'
'-y+1/4,-x+3/4,z+1/4'
'x+1/2,y+1/2,z+1/2'
'-x+1/2,-y+1/2,-z+1/2'
'-y+3/4,x+1/4,z+3/4'
'y+3/4,-x+1/4,-z+3/4'
'-x,-y+1/2,z'
'x,y+1/2,-z'
'y+3/4,-x+3/4,z+1/4'
'-y+3/4,x+3/4,-z+1/4'
'x+1/2,-y+1/2,-z+1/2'
'-x+1/2,y+1/2,z+1/2'
'-y+3/4,-x+3/4,-z+1/4'
'y+3/4,x+3/4,z+1/4'
'-x,y+1/2,-z'
'x,-y+1/2,z'
'y+3/4,x+1/4,-z+3/4'
'-y+3/4,-x+1/4,z+3/4'
loop_
_atom_site_label
_atom_site_type_symbol
_atom_site_fract_x
_atom_site_fract_y
_atom_site_fract_z
Zr1 Zr 0.0000 0.2500 0.3110
Re1 Re 0.0000 0.2500 0.8750
```

Calculated values
Electronic total energy (eV for the cell shown): -117.7
D(E_F) (states/eV per cell): 12.8
Magnetization (μB/atom): 0.000
ΔH_f (0 K) (meV/atom): 44

=====

6.
## Zr3Re (PBE)

Data for a relaxed structure of Zr3Re.

Structure (CIF):
```
data_Zr3Re
_symmetry_space_group_name_H-M 'P 63/m m c'
_symmetry_Int_Tables_number 194
_symmetry_space_group_name_Hall '-P 6c 2c'
_cell_length_a 6.6096
_cell_length_b 6.6096
_cell_length_c 4.4637
_cell_angle_alpha 90.00
_cell_angle_beta 90.00
_cell_angle_gamma 120.00
loop_
_atom_site_label
_atom_site_type_symbol
_atom_site_fract_x
_atom_site_fract_y
_atom_site_fract_z
Zr1 Zr 0.1803 0.3606 0.2500
Re1 Re 0.3333 0.6667 0.7500
```

Calculated values
Electronic total energy (eV for the cell shown): -75.3
D(E_F) (states/eV per cell): 4.3
Magnetization (μB/atom): 0.000
ΔH_f (0 K) (meV/atom): 105

=====

7.
## Zr3Re4 (PBE)

Data for a relaxed structure of Zr3Re4.

Structure (CIF):
```
data_Zr3Re4
_symmetry_space_group_name_H-M 'I 4/m m m'
_symmetry_Int_Tables_number 139
_symmetry_space_group_name_Hall '-I 4 2'
_cell_length_a 3.0676
_cell_length_b 3.0676
_cell_length_c 27.5348
_cell_angle_alpha 90.00
_cell_angle_beta 90.00
_cell_angle_gamma 90.00
loop_
_atom_site_label
_atom_site_type_symbol
_atom_site_fract_x
_atom_site_fract_y
_atom_site_fract_z
Zr1 Zr 0.0000 0.0000 0.0000
Zr2 Zr 0.0000 0.0000 0.2981
Re1 Re 0.0000 0.0000 0.1290
Re2 Re 0.0000 0.0000 0.4239
```

Calculated values
Electronic total energy (eV for the cell shown): -152.0
D(E_F) (states/eV per cell): 10.6
Magnetization (μB/atom): 0.000
ΔE to the lowest computed polymorph (meV per atom): 0.0
ΔH_f (0 K) (meV/atom): -78

=====

8.
## ZrRe (PBE)

Data for a relaxed structure of ZrRe.

Structure (CIF):
```
data_ZrRe
_symmetry_space_group_name_H-M 'P 4/n m m'
_symmetry_Int_Tables_number 129
_cell_length_a 3.0580
_cell_length_b 3.0580
_cell_length_c 8.2236
_cell_angle_alpha 90.00
_cell_angle_beta 90.00
_cell_angle_gamma 90.00
loop_
_symmetry_equiv_pos_as_xyz
'x,y,z'
'-x,-y,-z'
'-y+1/2,x,z'
'y+1/2,-x,-z'
'-x+1/2,-y+1/2,z'
'x+1/2,y+1/2,-z'
'y,-x+1/2,z'
'-y,x+1/2,-z'
'x+1/2,-y,-z'
'-x+1/2,y,z'
'-y,-x,-z'
'y,x,z'
'-x,y+1/2,-z'
'x,-y+1/2,z'
'y+1/2,x+1/2,-z'
'-y+1/2,-x+1/2,z'
loop_
_atom_site_label
_atom_site_type_symbol
_atom_site_fract_x
_atom_site_fract_y
_atom_site_fract_z
Zr1 Zr 0.2500 0.2500 0.1651
Re1 Re 0.2500 0.2500 0.5900
```

Calculated values
Electronic total energy (eV for the cell shown): -42.3
D(E_F) (states/eV per cell): 3.6
Magnetization (μB/atom): 0.000
ΔH_f (0 K) (meV/atom): -69

=====

9.
## Zr3Re5 (PBE)

Data for a relaxed structure of Zr3Re5.

Structure (CIF):
```
data_Zr3Re5
_symmetry_space_group_name_H-M 'C m m m'
_symmetry_Int_Tables_number 65
_symmetry_space_group_name_Hall '-C 2 2'
_cell_length_a 6.5156
_cell_length_b 9.1934
_cell_length_c 4.5758
_cell_angle_alpha 90.00
_cell_angle_beta 90.00
_cell_angle_gamma 90.00
loop_
_atom_site_label
_atom_site_type_symbol
_atom_site_fract_x
_atom_site_fract_y
_atom_site_fract_z
Zr1 Zr 0.0000 0.0000 0.0000
Zr2 Zr 0.0000 0.2497 0.5000
Re1 Re 0.0000 0.5000 0.0000
Re2 Re 0.2388 0.5000 0.5000
Re3 Re 0.2500 0.2500 0.0000
```

Calculated values
Electronic total energy (eV for the cell shown): -178.1
D(E_F) (states/eV per cell): 10.7
Magnetization (μB/atom): 0.000
ΔE to the lowest computed polymorph (meV per atom): 0.0
ΔH_f (0 K) (meV/atom): -144

=====

10.
## ZrRe3 (PBE)

Data for a relaxed structure of ZrRe3.

Structure (CIF):
```
data_ZrRe3
_symmetry_space_group_name_H-M 'P 4/m m m'
_symmetry_Int_Tables_number 123
_symmetry_space_group_name_Hall '-P 4 2'
_cell_length_a 4.5378
_cell_length_b 4.5378
_cell_length_c 3.1754
_cell_angle_alpha 90.00
_cell_angle_beta 90.00
_cell_angle_gamma 90.00
loop_
_atom_site_label
_atom_site_type_symbol
_atom_site_fract_x
_atom_site_fract_y
_atom_site_fract_z
Zr1 Zr 0.0000 0.0000 0.0000
Re1 Re 0.0000 0.5000 0.5000
Re2 Re 0.5000 0.5000 0.0000
```

Calculated values
Electronic total energy (eV for the cell shown): -45.9
D(E_F) (states/eV per cell): 2.2
Magnetization (μB/atom): 0.000
ΔE to the lowest computed polymorph (meV per atom): 0.0
ΔH_f (0 K) (meV/atom): -11